# 1
Zn2CdMo: relaxed, PBE.

Properties
* ΔE_f: 0.21 eV/atom
* density of states at the Fermi level: 0.35 states/eV/atom
* SG: No. 99
* crystal system: tetragonal
* total moment: 0.000 μB per cell

Cell lengths 2.769, 2.769, 8.606 Å; angles 90.00, 90.00, 90.00 degrees
Fractional coordinates of all 4 atoms:
Zn: 0.000 0.000 0.000
Zn: 0.500 0.500 0.227
Cd: 0.000 0.000 0.498
Mo: 0.500 0.500 0.767

---

# 2
ZnCdMo2: relaxed, PBE.

Properties
* ΔE to the lowest computed polymorph: 0.173 eV per atom
* ΔE_f: 0.36 eV/atom
* density of states at the Fermi level: 0.64 states/eV/atom
* SG: No. 25
* crystal system: orthorhombic
* total moment: 0.000 μB per cell

Cell lengths 2.704, 4.259, 5.822 Å; angles 90.00, 90.00, 90.00 degrees
Fractional coordinates of all 4 atoms:
Zn: 0.000 0.000 0.000
Cd: 0.500 0.500 0.245
Mo: 0.000 0.000 0.530
Mo: 0.500 0.500 0.745

---

# 3
Zn2CdMo: relaxed, PBE.

Properties
* ΔE_f: 0.21 eV/atom
* density of states at the Fermi level: 0.37 states/eV/atom
* SG: No. 12
* crystal system: monoclinic
* total moment: 0.000 μB per cell

Cell lengths 5.726, 9.070, 2.709 Å; angles 90.00, 111.10, 90.00 degrees
Fractional coordinates of all 8 atoms:
Zn: 0.250 0.250 0.000
Zn: 0.250 0.750 0.000
Zn: 0.750 0.250 0.000
Zn: 0.750 0.750 0.000
Cd: 0.000 0.000 0.500
Cd: 0.500 0.500 0.500
Mo: 0.000 0.500 0.500
Mo: 0.500 0.000 0.500

---

Q: What is the formula in the first record?
A: Zn2CdMo